SrFeOs after structural relaxation, computed with GGA-PBEsol.

Structure (CIF):
```
data_SrFeOs
_cell_length_a 3.1377
_cell_length_b 3.1377
_cell_length_c 11.4717
_cell_angle_alpha 90.00
_cell_angle_beta 90.00
_cell_angle_gamma 90.00
_symmetry_space_group_name_H-M 'I 4 m m'
_symmetry_Int_Tables_number 107
_symmetry_space_group_name_Hall 'I 4 -2'
loop_
_atom_site_label
_atom_site_fract_x
_atom_site_fract_y
_atom_site_fract_z
_atom_site_occupancy
Sr1 0.0000 0.0000 0.0000 1
Fe1 0.0000 0.0000 0.2900 1
Os1 0.0000 0.0000 0.7098 1
```

Properties
Formation enthalpy at 0 K: 1.9 eV/f.u.

TaHgCl2 after structural relaxation, computed with GGA-PBEsol.

Structure (CIF):
```
data_TaHgCl2
_cell_length_a 5.9194
_cell_length_b 8.3697
_cell_length_c 3.0484
_cell_angle_alpha 90.00
_cell_angle_beta 90.00
_cell_angle_gamma 90.00
_symmetry_space_group_name_H-M 'C m m m'
_symmetry_Int_Tables_number 65
_symmetry_space_group_name_Hall '-C 2 2'
loop_
_atom_site_label
_atom_site_fract_x
_atom_site_fract_y
_atom_site_fract_z
_atom_site_occupancy
Ta1 0.0000 0.0000 0.0000 1
Hg1 0.0000 0.5000 0.0000 1
Cl1 0.2500 0.2500 0.5000 1
```

Properties
E_form (uncorrected): 0.39 eV per atom
Distance to the lowest polymorph of the same formula: 541 meV per atom

Ce3TaCl6O4 after structural relaxation, computed with GGA-PBEsol.

Structure (CIF):
```
data_Ce3TaCl6O4
_cell_length_a 12.6463
_cell_length_b 12.6463
_cell_length_c 3.9287
_cell_angle_alpha 90.00
_cell_angle_beta 90.00
_cell_angle_gamma 120.00
_symmetry_space_group_name_H-M 'P 63/m'
_symmetry_Int_Tables_number 176
_symmetry_space_group_name_Hall '-P 6c'
loop_
_atom_site_label
_atom_site_fract_x
_atom_site_fract_y
_atom_site_fract_z
_atom_site_occupancy
Ce1 0.1135 0.7190 0.2500 1
Ta1 0.3333 0.6667 0.7500 1
Cl1 0.0724 0.4443 0.2500 1
Cl2 0.1017 0.2456 0.7500 1
O1 0.1982 0.6926 0.7500 1
O2 0.3333 0.6667 0.2500 1
```

Properties
E_form (uncorrected): -2.60 eV per atom

RbNaP2Cl after structural relaxation, computed with GGA-PBEsol.

Structure (CIF):
```
data_RbNaP2Cl
_cell_length_a 6.2349
_cell_length_b 6.2349
_cell_length_c 5.9364
_cell_angle_alpha 90.00
_cell_angle_beta 90.00
_cell_angle_gamma 90.00
_symmetry_space_group_name_H-M 'P 4/m m m'
_symmetry_Int_Tables_number 123
_symmetry_space_group_name_Hall '-P 4 2'
loop_
_atom_site_label
_atom_site_fract_x
_atom_site_fract_y
_atom_site_fract_z
_atom_site_occupancy
Rb1 0.0000 0.0000 0.0000 1
Na1 0.5000 0.5000 0.5000 1
P1 0.0000 0.5000 0.0000 1
Cl1 0.0000 0.0000 0.5000 1
```

Properties
E_form (uncorrected): 0.75 eV per atom

no.,DOS at the Fermi energy (states/eV/cell),total magnetization (μB/cell)
1,7.68,3.203
2,6.46,0.013
3,48.17,6.005
4,2.49,5.000